1.
Material: VCdCuOs2
Method: DFT, PBE-GGA
State: relaxed

```
data_VCdCuOs2
_chemical_formula_sum 'V1 Cd1 Cu1 Os2'
_symmetry_space_group_name_H-M 'P 4/m m m'
_symmetry_Int_Tables_number 123
_symmetry_space_group_name_Hall '-P 4 2'
_cell_length_a 4.825
_cell_length_b 4.825
_cell_length_c 4.655
_cell_angle_alpha 90.00
_cell_angle_beta 90.00
_cell_angle_gamma 90.00
loop_
_atom_site_label
_atom_site_fract_x
_atom_site_fract_y
_atom_site_fract_z
V1 0.000 0.000 0.000
Cd1 0.000 0.000 0.500
Cu1 0.500 0.500 0.000
Os1 0.000 0.500 0.500
```

2.
Material: Y2CdCuOs
Method: DFT, PBE-GGA
State: relaxed

```
data_Y2CdCuOs
_chemical_formula_sum 'Y2 Cd1 Cu1 Os1'
_symmetry_space_group_name_H-M 'P 4/m m m'
_symmetry_Int_Tables_number 123
_symmetry_space_group_name_Hall '-P 4 2'
_cell_length_a 5.510
_cell_length_b 5.510
_cell_length_c 4.848
_cell_angle_alpha 90.00
_cell_angle_beta 90.00
_cell_angle_gamma 90.00
loop_
_atom_site_label
_atom_site_fract_x
_atom_site_fract_y
_atom_site_fract_z
Y1 0.000 0.500 0.000
Cd1 0.000 0.000 0.000
Cu1 0.500 0.500 0.500
Os1 0.000 0.000 0.500
```

3.
Material: CdCu2P
Method: DFT, PBE-GGA
State: relaxed

```
data_CdCu2P
_chemical_formula_sum 'Cd4 Cu8 P4'
_symmetry_space_group_name_H-M 'F m -3 m'
_symmetry_Int_Tables_number 225
_symmetry_space_group_name_Hall '-F 4 2 3'
_cell_length_a 6.253
_cell_length_b 6.253
_cell_length_c 6.253
_cell_angle_alpha 90.00
_cell_angle_beta 90.00
_cell_angle_gamma 90.00
loop_
_atom_site_label
_atom_site_fract_x
_atom_site_fract_y
_atom_site_fract_z
Cd1 0.000 0.000 0.000
Cu1 0.250 0.250 0.250
P1 0.000 0.000 0.500
```

4.
Material: Cd2CuP
Method: DFT, PBE-GGA
State: relaxed

```
data_Cd2CuP
_chemical_formula_sum 'Cd2 Cu1 P1'
_symmetry_space_group_name_H-M 'P m m 2'
_symmetry_Int_Tables_number 25
_cell_length_a 3.035
_cell_length_b 3.704
_cell_length_c 6.840
_cell_angle_alpha 90.00
_cell_angle_beta 90.00
_cell_angle_gamma 90.00
loop_
_symmetry_equiv_pos_as_xyz
'x,y,z'
'-x,-y,z'
'-x,y,z'
'x,-y,z'
loop_
_atom_site_label
_atom_site_fract_x
_atom_site_fract_y
_atom_site_fract_z
Cd1 0.000 0.000 0.000
Cd2 0.500 0.500 0.275
Cu1 0.500 0.500 0.675
P1 0.000 0.000 0.611
```

5.
Material: CdCuP2
Method: DFT, PBE-GGA
State: relaxed

```
data_CdCuP2
_chemical_formula_sum 'Cd4 Cu4 P8'
_symmetry_space_group_name_H-M 'F -4 3 m'
_symmetry_Int_Tables_number 216
_symmetry_space_group_name_Hall 'F -4 2 3'
_cell_length_a 6.413
_cell_length_b 6.413
_cell_length_c 6.413
_cell_angle_alpha 90.00
_cell_angle_beta 90.00
_cell_angle_gamma 90.00
loop_
_atom_site_label
_atom_site_fract_x
_atom_site_fract_y
_atom_site_fract_z
Cd1 0.000 0.000 0.000
Cu1 0.250 0.250 0.750
P1 0.000 0.000 0.500
P2 0.250 0.250 0.250
```

6.
Material: CdCu2P
Method: DFT, PBE-GGA
State: relaxed

```
data_CdCu2P
_chemical_formula_sum 'Cd2 Cu4 P2'
_symmetry_space_group_name_H-M 'C 1 m 1'
_symmetry_Int_Tables_number 8
_cell_length_a 7.918
_cell_length_b 2.876
_cell_length_c 6.417
_cell_angle_alpha 90.00
_cell_angle_beta 111.05
_cell_angle_gamma 90.00
loop_
_symmetry_equiv_pos_as_xyz
'x,y,z'
'x,-y,z'
'x+1/2,y+1/2,z'
'x+1/2,-y+1/2,z'
loop_
_atom_site_label
_atom_site_fract_x
_atom_site_fract_y
_atom_site_fract_z
Cd1 0.000 0.000 0.000
Cu1 0.206 0.000 0.732
Cu2 0.429 0.000 0.519
P1 0.178 0.500 0.412
```

7.
Material: CdCuP2
Method: DFT, PBE-GGA
State: relaxed

```
data_CdCuP2
_chemical_formula_sum 'Cd1 Cu1 P2'
_symmetry_space_group_name_H-M 'P 4/m m m'
_symmetry_Int_Tables_number 123
_symmetry_space_group_name_Hall '-P 4 2'
_cell_length_a 3.584
_cell_length_b 3.584
_cell_length_c 5.327
_cell_angle_alpha 90.00
_cell_angle_beta 90.00
_cell_angle_gamma 90.00
loop_
_atom_site_label
_atom_site_fract_x
_atom_site_fract_y
_atom_site_fract_z
Cd1 0.000 0.000 0.000
Cu1 0.000 0.000 0.500
P1 0.500 0.500 0.302
```

8.
Material: Cd2CuP
Method: DFT, PBE-GGA
State: relaxed

```
data_Cd2CuP
_chemical_formula_sum 'Cd2 Cu1 P1'
_symmetry_space_group_name_H-M 'P 4/m m m'
_symmetry_Int_Tables_number 123
_symmetry_space_group_name_Hall '-P 4 2'
_cell_length_a 2.969
_cell_length_b 2.969
_cell_length_c 8.191
_cell_angle_alpha 90.00
_cell_angle_beta 90.00
_cell_angle_gamma 90.00
loop_
_atom_site_label
_atom_site_fract_x
_atom_site_fract_y
_atom_site_fract_z
Cd1 0.000 0.000 0.232
Cu1 0.500 0.500 0.000
P1 0.500 0.500 0.500
```

9.
Material: CdCuP2
Method: DFT, PBE-GGA
State: relaxed

```
data_CdCuP2
_chemical_formula_sum 'Cd3 Cu3 P6'
_symmetry_space_group_name_H-M 'R -3 m'
_symmetry_Int_Tables_number 166
_symmetry_space_group_name_Hall '-R 3 2"'
_cell_length_a 2.9710
_cell_length_b 2.9710
_cell_length_c 26.5493
_cell_angle_alpha 90.00
_cell_angle_beta 90.00
_cell_angle_gamma 120.00
loop_
_atom_site_label
_atom_site_fract_x
_atom_site_fract_y
_atom_site_fract_z
Cd1 0.0000 0.0000 0.0000
Cu1 0.0000 0.0000 0.5000
P1 0.0000 0.0000 0.2319
```

10.
Material: CdCuP2
Method: DFT, PBE-GGA
State: relaxed

```
data_CdCuP2
_chemical_formula_sum 'Cd1 Cu1 P2'
_symmetry_space_group_name_H-M 'P 4/m m m'
_symmetry_Int_Tables_number 123
_symmetry_space_group_name_Hall '-P 4 2'
_cell_length_a 4.176
_cell_length_b 4.176
_cell_length_c 3.810
_cell_angle_alpha 90.00
_cell_angle_beta 90.00
_cell_angle_gamma 90.00
loop_
_atom_site_label
_atom_site_fract_x
_atom_site_fract_y
_atom_site_fract_z
Cd1 0.000 0.000 0.000
Cu1 0.500 0.500 0.000
P1 0.000 0.500 0.500
```

11.
Material: Cd2CuP
Method: DFT, PBE-GGA
State: relaxed

```
data_Cd2CuP
_chemical_formula_sum 'Cd4 Cu2 P2'
_symmetry_space_group_name_H-M 'C 1 m 1'
_symmetry_Int_Tables_number 8
_cell_length_a 9.720
_cell_length_b 2.922
_cell_length_c 5.740
_cell_angle_alpha 90.00
_cell_angle_beta 111.30
_cell_angle_gamma 90.00
loop_
_symmetry_equiv_pos_as_xyz
'x,y,z'
'x,-y,z'
'x+1/2,y+1/2,z'
'x+1/2,-y+1/2,z'
loop_
_atom_site_label
_atom_site_fract_x
_atom_site_fract_y
_atom_site_fract_z
Cd1 0.000 0.000 0.000
Cd2 0.202 0.000 0.662
Cu1 0.253 0.500 0.126
P1 0.412 0.000 0.421
```

12.
Material: CdCu3P
Method: DFT, PBE-GGA
State: relaxed

```
data_CdCu3P
_chemical_formula_sum 'Cd1 Cu3 P1'
_symmetry_space_group_name_H-M 'P m -3 m'
_symmetry_Int_Tables_number 221
_symmetry_space_group_name_Hall '-P 4 2 3'
_cell_length_a 4.720
_cell_length_b 4.720
_cell_length_c 4.720
_cell_angle_alpha 90.00
_cell_angle_beta 90.00
_cell_angle_gamma 90.00
loop_
_atom_site_label
_atom_site_fract_x
_atom_site_fract_y
_atom_site_fract_z
Cd1 0.000 0.000 0.000
Cu1 0.000 0.000 0.500
P1 0.500 0.500 0.500
```

no.,E (eV/cell),total magnetic moment (μB/cell)
1,-22.36,1.28
2,-22.85,0.00
3,-53.41,0.00
4,-10.69,0.00
5,-53.95,0.00
6,-28.08,0.00
7,-14.77,0.00
8,-10.20,0.00
9,-43.22,0.00
10,-13.81,0.00
11,-21.36,0.00
12,-12.40,0.00